# 1
Sc6CdRh5: relaxed, PBE-GGA.

Cell: 4.6462 6.5193 8.0447 Å, 113.90 106.78 90.00°
Sites, in units of the cell vectors:
Sc 0.8276 0.5718 0.6553
Sc 0.8276 0.0835 0.6553
Sc 0.5000 0.7361 0.0000
Sc 0.5000 0.2639 0.0000
Sc 0.1724 0.9165 0.3447
Sc 0.1724 0.4282 0.3447
Rh 0.6647 0.1647 0.3294
Rh 0.3333 0.3333 0.6666
Rh 0.0000 0.5000 0.0000
Rh 0.6667 0.6667 0.3334
Rh 0.3353 0.8353 0.6706
Cd 0.0000 0.0000 0.0000

## Properties
DFT total energy (eV/atom): -7.161
Formation enthalpy at 0 K (meV per atom): -856
Crystal system: orthorhombic
Space group: Immm

# 2
Sc2CdRh2: relaxed, PBE-GGA.

Cell: 4.3552 4.3552 6.2687 Å, 69.67 69.67 90.00°
Sites, in units of the cell vectors:
Sc 0.7500 0.2500 0.5000
Sc 0.2500 0.7500 0.5000
Rh 0.3847 0.3847 0.2307
Rh 0.6153 0.6153 0.7693
Cd 0.0000 0.0000 0.0000

## Properties
DFT total energy (eV/atom): -6.057
Formation enthalpy at 0 K (meV per atom): -401
Crystal system: tetragonal
Space group: I4/mmm